## LuThSi2 (PBE)

Data for an optimized crystal structure of LuThSi2.

Its total moment is 0.00 μB/cell. The value obtained for the calculated total energy is -6.227 eV per atom.

The structure belongs to space group R-3m (No. 166, hexagonal axes); the cell edges are 4.5611, 4.5611 and 15.7215 Å and the angles 90.00°, 90.00° and 120.00°. The distinct sites, in fractional coordinates, are Lu at (0.0000, 0.0000, 0.0000), Th at (0.0000, 0.0000, 0.5000) and Si at (0.0000, 0.0000, 0.2625).